A plane-wave DFT calculation with GGA-PBE was carried out for RbInSn after structural relaxation.

The calculation puts the density of states at the Fermi level at 0.22 states/eV per atom. The calculation puts the volume at 39.10 Å³ per atom. The formation energy comes out at -0.39 eV per formula unit. The calculated density is 4.5 Mg/m³. Its final energy is -2.7005 eV/atom.

The structure belongs to space group P2_1/c (No. 14); the cell edges are 7.6594, 6.9862 and 9.4481 Å and the angles 90.00°, 111.86° and 90.00°. The asymmetric unit holds Rb at (0.1671, 0.1333, 0.3586), In at (0.4366, 0.6335, 0.3025) and Sn at (0.2614, 0.6354, 0.5358).

A plane-wave DFT calculation with GGA-PBE was carried out for Rb2In12Sn7 after structural relaxation.

The calculation puts the density of states at the Fermi level at 0.44 states/eV per atom. The calculation puts the volume at 31.42 Å³ per atom. The formation energy comes out at -0.63 eV per formula unit. The calculated density is 6.0 Mg/m³. Its final energy is -3.0212 eV/atom.

The structure belongs to space group P-3 (No. 147); the cell edges are 12.6775, 12.6775 and 4.7410 Å and the angles 90.00°, 90.00° and 120.00°. The asymmetric unit holds Rb at (0.3333, 0.6667, 0.2471), In at (0.0654, 0.4369, 0.7570), In at (0.1156, 0.2495, 0.2261), Sn at (0.0000, 0.0000, 0.5000) and Sn at (0.1051, 0.7030, 0.7366).

A plane-wave DFT calculation with GGA-PBE was carried out for RbInSn after structural relaxation.

The calculation puts the density of states at the Fermi level at 0.75 states/eV per atom. The calculation puts the volume at 67.90 Å³ per atom. The formation energy comes out at 0.99 eV per formula unit. The calculated density is 2.6 Mg/m³. Its final energy is -2.2401 eV/atom.

The structure belongs to space group P6_3/mmc (No. 194); the cell edges are 6.5165, 6.5165 and 11.0775 Å and the angles 90.00°, 90.00° and 120.00°. The asymmetric unit holds Rb at (0.3333, 0.6667, 0.2500), In at (0.0000, 0.0000, 0.2500) and Sn at (0.0000, 0.0000, 0.0000).

A plane-wave DFT calculation with GGA-PBE was carried out for Rb2In10Sn after structural relaxation.

The calculation puts the density of states at the Fermi level at 0.49 states/eV per atom. The calculation puts the volume at 36.11 Å³ per atom. The formation energy comes out at 0.06 eV per formula unit. The calculated density is 5.1 Mg/m³. Its final energy is -2.5586 eV/atom.

The structure belongs to space group Pbam (No. 55); the cell edges are 9.8212, 14.4489 and 6.6157 Å and the angles 90.00°, 90.00° and 90.00°. The asymmetric unit holds Rb at (0.2209, 0.0664, 0.0000), In at (0.0803, 0.6337, 0.5000), In at (0.1267, 0.2026, 0.5000), In at (0.1403, 0.8078, 0.2275), In at (0.2023, 0.4395, 0.5000) and Sn at (0.0000, 0.0000, 0.5000).

A plane-wave DFT calculation with GGA-PBE was carried out for RbIn2Sn6 after structural relaxation.

The calculation puts the polymorph energy (0 for the lowest one) at 0.0000 eV/atom. The calculation puts the density of states at the Fermi level at 0.49 states/eV per atom. The calculation puts the volume at 31.00 Å³ per atom. The formation energy comes out at -0.13 eV per formula unit. The calculated density is 6.1 Mg/m³. Its final energy is -3.3986 eV/atom.

The structure belongs to space group P4/mmm (No. 123); the cell edges are 5.0054, 5.0054 and 11.1350 Å and the angles 90.00°, 90.00° and 90.00°. The asymmetric unit holds Rb at (0.0000, 0.0000, 0.0000), In at (0.5000, 0.5000, 0.1359), Sn at (0.0000, 0.0000, 0.5000), Sn at (0.0000, 0.5000, 0.3013) and Sn at (0.5000, 0.5000, 0.5000).

A plane-wave DFT calculation with GGA-PBE was carried out for RbIn3Sn4 after structural relaxation.

The calculation puts the density of states at the Fermi level at 0.53 states/eV per atom. The calculation puts the volume at 32.41 Å³ per atom. The formation energy comes out at -0.28 eV per formula unit. The calculated density is 5.8 Mg/m³. Its final energy is -3.1844 eV/atom.

The structure belongs to space group P4/mmm (No. 123); the cell edges are 5.5870, 5.5870 and 8.3065 Å and the angles 90.00°, 90.00° and 90.00°. The asymmetric unit holds Rb at (0.0000, 0.0000, 0.0000), In at (0.0000, 0.0000, 0.5000), In at (0.5000, 0.5000, 0.1770) and Sn at (0.0000, 0.5000, 0.3205).

A plane-wave DFT calculation with GGA-PBE was carried out for RbIn3Sn after structural relaxation.

The calculation puts the polymorph energy (0 for the lowest one) at 1.1429 eV/atom. The calculation puts the density of states at the Fermi level at 0.91 states/eV per atom. The calculation puts the volume at 45.89 Å³ per atom. The formation energy comes out at 4.96 eV per formula unit. The calculated density is 4.0 Mg/m³. Its final energy is -1.6457 eV/atom.

The structure belongs to space group Pm-3m (No. 221); the cell edges are 6.1222, 6.1222 and 6.1222 Å and the angles 90.00°, 90.00° and 90.00°. The asymmetric unit holds Rb at (0.0000, 0.0000, 0.0000), In at (0.0000, 0.0000, 0.5000) and Sn at (0.5000, 0.5000, 0.5000).

A plane-wave DFT calculation with GGA-PBE was carried out for RbInSn after structural relaxation.

The calculation puts the density of states at the Fermi level at 0.21 states/eV per atom. The calculation puts the volume at 37.57 Å³ per atom. The formation energy comes out at -0.59 eV per formula unit. The calculated density is 4.7 Mg/m³. Its final energy is -2.7656 eV/atom.

The structure belongs to space group Cmcm (No. 63); the cell edges are 4.8088, 18.5965 and 5.0412 Å and the angles 90.00°, 90.00° and 90.00°. The asymmetric unit holds Rb at (0.0000, 0.0857, 0.2500), In at (0.0000, 0.2515, 0.7500) and Sn at (0.0000, 0.3498, 0.2500).

A plane-wave DFT calculation with GGA-PBE was carried out for RbIn2Sn3 after structural relaxation.

The calculation puts the polymorph energy (0 for the lowest one) at 0.0000 eV/atom. The calculation puts the density of states at the Fermi level at 0.34 states/eV per atom. The calculation puts the volume at 31.69 Å³ per atom. The formation energy comes out at -0.44 eV per formula unit. The calculated density is 5.9 Mg/m³. Its final energy is -3.1490 eV/atom.

The structure belongs to space group P-1 (No. 2); the cell edges are 5.3167, 7.9542 and 9.6902 Å and the angles 104.69°, 105.85° and 90.09°. The asymmetric unit holds Rb at (0.1137, 0.1788, 0.2277), In at (0.2322, 0.6510, 0.4690), In at (0.4691, 0.1746, 0.9372), Sn at (0.0616, 0.6588, 0.1253), Sn at (0.2951, 0.0534, 0.5898) and Sn at (0.3707, 0.4626, 0.7369).

A plane-wave DFT calculation with GGA-PBE was carried out for Rb4InSn4 after structural relaxation.

The calculation puts the density of states at the Fermi level at 1.03 states/eV per atom. The calculation puts the volume at 49.75 Å³ per atom. The formation energy comes out at 0.58 eV per formula unit. The calculated density is 3.5 Mg/m³. Its final energy is -2.4494 eV/atom.

The structure belongs to space group I-42m (No. 121); the cell edges are 7.2966, 7.2966 and 16.8184 Å and the angles 90.00°, 90.00° and 90.00°. The asymmetric unit holds Rb at (0.1762, 0.1762, 0.1315), In at (0.0000, 0.0000, 0.5000) and Sn at (0.1429, 0.1429, 0.3502).

A plane-wave DFT calculation with GGA-PBE was carried out for RbInSn after structural relaxation.

The calculation puts the density of states at the Fermi level at 0.23 states/eV per atom. The calculation puts the volume at 41.28 Å³ per atom. The formation energy comes out at -0.47 eV per formula unit. The calculated density is 4.3 Mg/m³. Its final energy is -2.7268 eV/atom.

The structure belongs to space group Pmmm (No. 47); the cell edges are 4.9204, 5.9030 and 8.5280 Å and the angles 90.00°, 90.00° and 90.00°. The asymmetric unit holds Rb at (0.0000, 0.0000, 0.0000), Rb at (0.5000, 0.0000, 0.5000), In at (0.0000, 0.5000, 0.3330) and Sn at (0.5000, 0.5000, 0.1672).

A plane-wave DFT calculation with GGA-PBE was carried out for RbIn2Sn4 after structural relaxation.

The calculation puts the polymorph energy (0 for the lowest one) at 0.0293 eV/atom. The calculation puts the density of states at the Fermi level at 0.59 states/eV per atom. The calculation puts the volume at 31.08 Å³ per atom. The formation energy comes out at -0.19 eV per formula unit. The calculated density is 6.0 Mg/m³. Its final energy is -3.2352 eV/atom.

The structure belongs to space group I4/mmm (No. 139); the cell edges are 8.3862, 8.3862 and 6.1867 Å and the angles 90.00°, 90.00° and 90.00°. The asymmetric unit holds Rb at (0.0000, 0.0000, 0.0000), In at (0.0000, 0.5000, 0.2500) and Sn at (0.1903, 0.1903, 0.5000).